# Pr4Dy6Th PBE relaxed
# final energy = -4.7907 eV/atom
# space-group type = Cmcm, No. 63
# ΔE_f = 3.046 kcal/mol of atoms
# total magnetization = 0.0 μB/cell
data_Pr4Dy6Th
_chemical_formula_sum 'Pr8 Dy12 Th2'
_symmetry_space_group_name_H-M 'P 1'
_symmetry_Int_Tables_number 1
_cell_length_a 5.6553
_cell_length_b 5.6553
_cell_length_c 26.0461
_cell_angle_alpha 90.00
_cell_angle_beta 90.00
_cell_angle_gamma 117.88
loop_
_symmetry_equiv_pos_as_xyz
'x,y,z'
loop_
_atom_site_label
_atom_site_type_symbol
_atom_site_fract_x
_atom_site_fract_y
_atom_site_fract_z
Pr1 Pr 0.0375 0.9625 0.6233
Pr2 Pr 0.0375 0.9625 0.8767
Pr3 Pr 0.3460 0.6540 0.5442
Pr4 Pr 0.3460 0.6540 0.9558
Pr5 Pr 0.6540 0.3460 0.0442
Pr6 Pr 0.6540 0.3460 0.4558
Pr7 Pr 0.9625 0.0375 0.1233
Pr8 Pr 0.9625 0.0375 0.3767
Dy1 Dy 0.0000 0.0000 0.0000
Dy2 Dy 0.0000 0.0000 0.5000
Dy3 Dy 0.0380 0.9620 0.7500
Dy4 Dy 0.3070 0.6930 0.1031
Dy5 Dy 0.3070 0.6930 0.3969
Dy6 Dy 0.3684 0.6316 0.6844
Dy7 Dy 0.3684 0.6316 0.8156
Dy8 Dy 0.6316 0.3684 0.1844
Dy9 Dy 0.6316 0.3684 0.3156
Dy10 Dy 0.6930 0.3070 0.6031
Dy11 Dy 0.6930 0.3070 0.8969
Dy12 Dy 0.9620 0.0380 0.2500
Th1 Th 0.2992 0.7008 0.2500
Th2 Th 0.7008 0.2992 0.7500